The following is a DFT calculation (PBE) of an optimized crystal structure of ScNiSe3.

Results
formation energy without anion corrections: -324.3 meV per atom
SG: Pm-3m, No. 221
distance to the lowest polymorph of the same formula: 0.00 eV/f.u.
D(E_F): 0.58 states/eV/atom
energy: -4.838 eV per atom
volume: 20.733 Å³/atom

Lattice parameters (Å, degrees): 4.6976 4.6976 4.6976 90.00 90.00 90.00
Last column: nearest neighbours and their distance in Å.
Fractional coordinates of all 5 atoms:
Se  0.5000  0.0000  0.0000  2 Ni 2.35
Se  0.0000  0.0000  0.5000  2 Ni 2.35
Se  0.0000  0.5000  0.0000  2 Ni 2.35
Ni  0.0000  0.0000  0.0000  6 Se 2.35
Sc  0.5000  0.5000  0.5000  12 Se 3.32